Entry 1:
# HgAs2NF | Alexandria via LeMat-Bulk | GGA-PBEsol | relaxed
# Theoretical density = 5.548 g/cm3
# Density of states at the Fermi level = 3.3 states/eV/f.u.
# Raw formation energy = 1417 meV/atom
# SG = P4/mmm (123)
data_HgAs2NF
_chemical_formula_sum 'Hg1 As2 N1 F1'
_space_group_name_H-M_alt 'P 1'
_space_group_IT_number 1
_space_group_name_Hall 'P 1'
_cell_length_a 4.398
_cell_length_b 5.108
_cell_length_c 5.108
_cell_angle_alpha 90.00
_cell_angle_beta 90.00
_cell_angle_gamma 90.00
loop_
_atom_site_label
_atom_site_type_symbol
_atom_site_fract_x
_atom_site_fract_y
_atom_site_fract_z
N1 N 0.500 0.500 0.500
Hg1 Hg 0.000 0.000 0.000
F1 F 0.500 0.000 0.000
As1 As 0.000 0.000 0.500
As2 As 0.000 0.500 0.000

---

Entry 2:
# Re2HgAsF | Alexandria via LeMat-Bulk | GGA-PBEsol | relaxed
# Theoretical density = 8.111 g/cm3
# Density of states at the Fermi level = 2.8 states/eV/f.u.
# Raw formation energy = 2621 meV/atom
# SG = P4/mmm (123)
data_Re2HgAsF
_chemical_formula_sum 'Re2 Hg1 As1 F1'
_space_group_name_H-M_alt 'P 1'
_space_group_IT_number 1
_space_group_name_Hall 'P 1'
_cell_length_a 4.913
_cell_length_b 5.272
_cell_length_c 5.272
_cell_angle_alpha 90.00
_cell_angle_beta 90.00
_cell_angle_gamma 90.00
loop_
_atom_site_label
_atom_site_type_symbol
_atom_site_fract_x
_atom_site_fract_y
_atom_site_fract_z
Re1 Re 0.000 0.000 0.500
Re2 Re 0.000 0.500 0.000
F1 F 0.500 0.500 0.500
Hg1 Hg 0.000 0.000 0.000
As1 As 0.500 0.000 0.000

---

Entry 3:
# AsI2F | Alexandria via LeMat-Bulk | GGA-PBEsol | relaxed
# Theoretical density = 5.447 g/cm3
# Raw formation energy = -194 meV/atom
# SG = I-42d (122)
data_AsI2F
_chemical_formula_sum 'As2 I4 F2'
_space_group_name_H-M_alt 'P 1'
_space_group_IT_number 1
_space_group_name_Hall 'P 1'
_cell_length_a 6.514
_cell_length_b 6.514
_cell_length_c 6.514
_cell_angle_alpha 74.57
_cell_angle_beta 68.47
_cell_angle_gamma 111.53
loop_
_atom_site_label
_atom_site_type_symbol
_atom_site_fract_x
_atom_site_fract_y
_atom_site_fract_z
I1 I 0.001 0.876 0.625
I2 I 0.501 0.625 0.374
I3 I 0.499 0.125 0.876
I4 I 0.999 0.374 0.125
F1 F 0.500 0.750 0.750
F2 F 0.000 0.500 0.500
As1 As 0.000 0.000 0.000
As2 As 0.500 0.250 0.250

---

Entry 4:
# AsI2F6 | Alexandria via LeMat-Bulk | GGA-PBEsol | relaxed
# Theoretical density = 3.714 g/cm3
# Density of states at the Fermi level = 3.7 states/eV/f.u.
# Raw formation energy = -1593 meV/atom
# SG = C2/m (12)
data_AsI2F6
_chemical_formula_sum 'As2 I4 F12'
_space_group_name_H-M_alt 'P 1'
_space_group_IT_number 1
_space_group_name_Hall 'P 1'
_cell_length_a 6.884
_cell_length_b 6.319
_cell_length_c 11.472
_cell_angle_alpha 79.83
_cell_angle_beta 71.08
_cell_angle_gamma 57.00
loop_
_atom_site_label
_atom_site_type_symbol
_atom_site_fract_x
_atom_site_fract_y
_atom_site_fract_z
I1 I 0.584 0.442 0.382
I2 I 0.974 0.442 0.618
I3 I 0.416 0.558 0.618
I4 I 0.026 0.558 0.382
As1 As 0.654 0.000 0.157
As2 As 0.346 0.000 0.843
F1 F 0.636 0.762 0.851
F2 F 0.224 0.000 0.000
F3 F 0.602 0.762 0.149
F4 F 0.947 0.764 0.176
F5 F 0.398 0.238 0.851
F6 F 0.711 0.236 0.176
F7 F 0.458 0.000 0.679
F8 F 0.776 0.000 0.000
F9 F 0.289 0.764 0.824
F10 F 0.364 0.238 0.149
F11 F 0.542 0.000 0.321
F12 F 0.053 0.236 0.824

---

Entry 5:
# As2I2F | Alexandria via LeMat-Bulk | GGA-PBEsol | relaxed
# Theoretical density = 5.820 g/cm3
# Density of states at the Fermi level = 1.7 states/eV/f.u.
# Raw formation energy = -239 meV/atom
# SG = I4/mmm (139)
data_As2I2F
_chemical_formula_sum 'As2 I2 F1'
_space_group_name_H-M_alt 'P 1'
_space_group_IT_number 1
_space_group_name_Hall 'P 1'
_cell_length_a 5.458
_cell_length_b 5.458
_cell_length_c 5.458
_cell_angle_alpha 96.59
_cell_angle_beta 116.27
_cell_angle_gamma 116.27
loop_
_atom_site_label
_atom_site_type_symbol
_atom_site_fract_x
_atom_site_fract_y
_atom_site_fract_z
I1 I 0.500 0.750 0.250
I2 I 0.500 0.250 0.750
As1 As 0.000 0.322 0.322
As2 As 0.000 0.678 0.678
F1 F 0.000 0.000 0.000

---

Entry 6:
# AsI5F6 | Alexandria via LeMat-Bulk | GGA-PBEsol | relaxed
# Theoretical density = 4.324 g/cm3
# Raw formation energy = -1233 meV/atom
# SG = C2/c (15)
data_AsI5F6
_chemical_formula_sum 'As2 I10 F12'
_space_group_name_H-M_alt 'P 1'
_space_group_IT_number 1
_space_group_name_Hall 'P 1'
_cell_length_a 8.533
_cell_length_b 8.563
_cell_length_c 10.359
_cell_angle_alpha 108.20
_cell_angle_beta 108.10
_cell_angle_gamma 104.18
loop_
_atom_site_label
_atom_site_type_symbol
_atom_site_fract_x
_atom_site_fract_y
_atom_site_fract_z
I1 I 0.713 0.665 0.461
I2 I 0.707 0.173 0.776
I3 I 0.431 0.397 0.224
I4 I 0.248 0.796 0.461
I5 I 0.293 0.827 0.224
I6 I 0.752 0.204 0.539
I7 I 0.287 0.335 0.539
I8 I 0.500 0.500 0.000
I9 I 0.000 0.500 0.000
I10 I 0.569 0.603 0.776
F1 F 0.989 0.054 0.323
F2 F 0.026 0.238 0.184
F3 F 0.303 0.869 0.958
F4 F 0.834 0.268 0.323
F5 F 0.011 0.946 0.677
F6 F 0.156 0.090 0.958
F7 F 0.697 0.131 0.042
F8 F 0.166 0.732 0.677
F9 F 0.658 0.946 0.184
F10 F 0.844 0.910 0.042
F11 F 0.342 0.054 0.816
F12 F 0.974 0.762 0.816
As1 As 0.840 0.090 0.180
As2 As 0.160 0.910 0.820

---

Entry 7:
# AsI3F6 | Alexandria via LeMat-Bulk | GGA-PBEsol | relaxed
# Theoretical density = 4.063 g/cm3
# Raw formation energy = -1477 meV/atom
# SG = P-1 (2)
data_AsI3F6
_chemical_formula_sum 'As2 I6 F12'
_space_group_name_H-M_alt 'P 1'
_space_group_IT_number 1
_space_group_name_Hall 'P 1'
_cell_length_a 5.822
_cell_length_b 8.089
_cell_length_c 10.307
_cell_angle_alpha 92.80
_cell_angle_beta 103.02
_cell_angle_gamma 98.82
loop_
_atom_site_label
_atom_site_type_symbol
_atom_site_fract_x
_atom_site_fract_y
_atom_site_fract_z
I1 I 0.230 0.224 0.532
I2 I 0.770 0.776 0.468
I3 I 0.193 0.164 0.781
I4 I 0.098 0.627 0.171
I5 I 0.902 0.373 0.829
I6 I 0.807 0.836 0.219
F1 F 0.324 0.656 0.676
F2 F 0.657 0.204 0.099
F3 F 0.408 0.428 0.122
F4 F 0.481 0.044 0.266
F5 F 0.233 0.266 0.286
F6 F 0.519 0.956 0.734
F7 F 0.592 0.572 0.878
F8 F 0.343 0.796 0.901
F9 F 0.216 0.128 0.064
F10 F 0.767 0.734 0.714
F11 F 0.676 0.344 0.324
F12 F 0.784 0.872 0.936
As1 As 0.549 0.764 0.807
As2 As 0.451 0.236 0.193

---

Entry 8:
# Nb2AsIF | Alexandria via LeMat-Bulk | GGA-PBEsol | relaxed
# Theoretical density = 5.044 g/cm3
# Density of states at the Fermi level = 6.3 states/eV/f.u.
# Raw formation energy = 1641 meV/atom
# SG = P4/mmm (123)
data_Nb2AsIF
_chemical_formula_sum 'Nb2 As1 I1 F1'
_space_group_name_H-M_alt 'P 1'
_space_group_IT_number 1
_space_group_name_Hall 'P 1'
_cell_length_a 5.034
_cell_length_b 5.034
_cell_length_c 5.283
_cell_angle_alpha 90.00
_cell_angle_beta 90.00
_cell_angle_gamma 90.00
loop_
_atom_site_label
_atom_site_type_symbol
_atom_site_fract_x
_atom_site_fract_y
_atom_site_fract_z
Nb1 Nb 0.500 0.000 0.000
Nb2 Nb 0.000 0.500 0.000
I1 I 0.000 0.000 0.000
F1 F 0.500 0.500 0.500
As1 As 0.000 0.000 0.500

---

Entry 9:
# AsI2OF | Alexandria via LeMat-Bulk | GGA-PBEsol | relaxed
# Theoretical density = 5.220 g/cm3
# Density of states at the Fermi level = 4.8 states/eV/f.u.
# Raw formation energy = -144 meV/atom
# SG = P4/mmm (123)
data_AsI2OF
_chemical_formula_sum 'As1 I2 O1 F1'
_space_group_name_H-M_alt 'P 1'
_space_group_IT_number 1
_space_group_name_Hall 'P 1'
_cell_length_a 3.634
_cell_length_b 5.643
_cell_length_c 5.643
_cell_angle_alpha 90.00
_cell_angle_beta 90.00
_cell_angle_gamma 90.00
loop_
_atom_site_label
_atom_site_type_symbol
_atom_site_fract_x
_atom_site_fract_y
_atom_site_fract_z
F1 F 0.500 0.500 0.500
As1 As 0.000 0.000 0.000
O1 O 0.500 0.000 0.000
I1 I 0.000 0.000 0.500
I2 I 0.000 0.500 0.000

---

Entry 10:
# As2OsIF | Alexandria via LeMat-Bulk | GGA-PBEsol | relaxed
# Theoretical density = 7.335 g/cm3
# Density of states at the Fermi level = 7.1 states/eV/f.u.
# Raw formation energy = 1493 meV/atom
# SG = P4/mmm (123)
data_As2OsIF
_chemical_formula_sum 'As2 Os1 I1 F1'
_space_group_name_H-M_alt 'P 1'
_space_group_IT_number 1
_space_group_name_Hall 'P 1'
_cell_length_a 4.074
_cell_length_b 5.197
_cell_length_c 5.197
_cell_angle_alpha 90.00
_cell_angle_beta 90.00
_cell_angle_gamma 90.00
loop_
_atom_site_label
_atom_site_type_symbol
_atom_site_fract_x
_atom_site_fract_y
_atom_site_fract_z
Os1 Os 0.500 0.500 0.500
I1 I 0.000 0.000 0.000
As1 As 0.000 0.500 0.000
As2 As 0.000 0.000 0.500
F1 F 0.500 0.000 0.000

---

Entry 11:
# AsSe6IF6 | Alexandria via LeMat-Bulk | GGA-PBEsol | relaxed
# Theoretical density = 4.213 g/cm3
# Raw formation energy = -1099 meV/atom
# SG = P2/c (13)
data_AsSe6IF6
_chemical_formula_sum 'As2 Se12 I2 F12'
_space_group_name_H-M_alt 'P 1'
_space_group_IT_number 1
_space_group_name_Hall 'P 1'
_cell_length_a 6.781
_cell_length_b 9.241
_cell_length_c 10.503
_cell_angle_alpha 108.95
_cell_angle_beta 90.00
_cell_angle_gamma 90.00
loop_
_atom_site_label
_atom_site_type_symbol
_atom_site_fract_x
_atom_site_fract_y
_atom_site_fract_z
F1 F 0.101 0.174 0.104
F2 F 0.108 0.903 0.103
F3 F 0.899 0.826 0.896
F4 F 0.892 0.097 0.897
F5 F 0.214 0.964 0.899
F6 F 0.108 0.597 0.397
F7 F 0.101 0.326 0.396
F8 F 0.214 0.536 0.601
F9 F 0.892 0.403 0.603
F10 F 0.786 0.464 0.399
F11 F 0.899 0.674 0.604
F12 F 0.786 0.036 0.101
As1 As 0.000 0.000 0.000
As2 As 0.000 0.500 0.500
Se1 Se 0.239 0.944 0.611
Se2 Se 0.239 0.556 0.889
Se3 Se 0.761 0.444 0.111
Se4 Se 0.431 0.351 0.117
Se5 Se 0.234 0.555 0.119
Se6 Se 0.761 0.056 0.389
Se7 Se 0.234 0.945 0.381
Se8 Se 0.766 0.445 0.881
Se9 Se 0.569 0.851 0.617
Se10 Se 0.431 0.149 0.383
Se11 Se 0.569 0.649 0.883
Se12 Se 0.766 0.055 0.619
I1 I 0.737 0.750 0.250
I2 I 0.263 0.250 0.750

---

Entry 12:
# InAsP2F | Alexandria via LeMat-Bulk | GGA-PBEsol | relaxed
# Theoretical density = 5.029 g/cm3
# Density of states at the Fermi level = 3.4 states/eV/f.u.
# Raw formation energy = 457 meV/atom
# SG = P4/mmm (123)
data_InAsP2F
_chemical_formula_sum 'In1 As1 P2 F1'
_space_group_name_H-M_alt 'P 1'
_space_group_IT_number 1
_space_group_name_Hall 'P 1'
_cell_length_a 4.211
_cell_length_b 4.607
_cell_length_c 4.607
_cell_angle_alpha 90.00
_cell_angle_beta 90.00
_cell_angle_gamma 90.00
loop_
_atom_site_label
_atom_site_type_symbol
_atom_site_fract_x
_atom_site_fract_y
_atom_site_fract_z
F1 F 0.000 0.000 0.000
As1 As 0.500 0.000 0.000
P1 P 0.000 0.500 0.000
P2 P 0.000 0.000 0.500
In1 In 0.500 0.500 0.500

---

- What is the formula in the first record?
  HgAs2NF